[1]
The following is a PBE-GGA calculation of Pr3Dy4In after structural relaxation, from the Alexandria database.

Polymorph energy (0 for the lowest one)   0.00 kcal/mol of atoms
N(E_F)   17.4 states/eV/cell
DFT formation energy   -108 meV/atom

Unit cell a=6.273 b=7.159 c=11.368 alpha=90.00 beta=90.00 gamma=90.00
Fractional coordinates of all 16 atoms:
In (0.152, 0.359, 0.000)
Pr (0.473, 0.384, 0.738)
Dy (0.989, 0.124, 0.239)
Dy (0.146, 0.872, 0.500)
In (0.652, 0.641, 0.500)
Dy (0.646, 0.128, 0.000)
Dy (0.167, 0.881, 0.000)
Dy (0.489, 0.876, 0.261)
Dy (0.667, 0.119, 0.500)
Pr (0.973, 0.616, 0.238)
Dy (0.989, 0.124, 0.761)
Pr (0.626, 0.627, 0.000)
Pr (0.473, 0.384, 0.262)
Pr (0.973, 0.616, 0.762)
Dy (0.489, 0.876, 0.739)
Pr (0.126, 0.373, 0.500)

=====

[2]
The following is a PBE-GGA calculation of Pr2DyIn4 after structural relaxation, from the Alexandria database.

Polymorph energy (0 for the lowest one)   0.00 kcal/mol of atoms
N(E_F)   5.5 states/eV/cell
DFT formation energy   -325 meV/atom

Unit cell a=5.325 b=5.325 c=8.417 alpha=108.44 beta=108.44 gamma=90.00
Fractional coordinates of all 7 atoms:
Pr (0.748, 0.748, 0.497)
In (0.391, 0.891, 0.782)
Pr (0.252, 0.252, 0.503)
Dy (0.000, 0.000, 0.000)
In (0.891, 0.391, 0.782)
In (0.109, 0.609, 0.218)
In (0.609, 0.109, 0.218)

=====

[3]
The following is a PBE-GGA calculation of Pr3DyIn2 after structural relaxation, from the Alexandria database.

Polymorph energy (0 for the lowest one)   0.00 kcal/mol of atoms
N(E_F)   13.1 states/eV/cell
DFT formation energy   -346 meV/atom

Unit cell a=5.350 b=6.880 c=10.170 alpha=90.00 beta=90.00 gamma=90.00
Fractional coordinates of all 12 atoms:
In (0.500, 0.711, 0.853)
In (0.000, 0.792, 0.357)
Pr (0.000, 0.965, 0.037)
Dy (0.500, 0.531, 0.539)
In (0.500, 0.211, 0.147)
Pr (0.000, 0.465, 0.963)
Pr (0.000, 0.306, 0.327)
Dy (0.500, 0.031, 0.461)
Pr (0.500, 0.194, 0.818)
Pr (0.500, 0.694, 0.182)
In (0.000, 0.292, 0.643)
Pr (0.000, 0.806, 0.673)

=====

[4]
The following is a PBE-GGA calculation of Pr4Dy3In4 after structural relaxation, from the Alexandria database.

N(E_F)   10.2 states/eV/cell
DFT formation energy   -317 meV/atom

Unit cell a=3.637 b=9.507 c=11.051 alpha=115.48 beta=99.47 gamma=90.00
Fractional coordinates of all 11 atoms:
Dy (0.093, 0.093, 0.185)
Pr (0.662, 0.836, 0.324)
In (0.723, 0.223, 0.446)
Pr (0.338, 0.164, 0.676)
In (0.500, 0.220, 0.000)
Pr (0.662, 0.488, 0.324)
Dy (0.000, 0.500, 0.000)
In (0.500, 0.780, 0.000)
Pr (0.338, 0.512, 0.676)
In (0.277, 0.777, 0.554)
Dy (0.907, 0.907, 0.815)

=====

[5]
The following is a PBE-GGA calculation of PrDy2In4 after structural relaxation, from the Alexandria database.

Polymorph energy (0 for the lowest one)   0.00 kcal/mol of atoms
N(E_F)   6.6 states/eV/cell
DFT formation energy   -284 meV/atom

Unit cell a=4.710 b=4.710 c=9.939 alpha=103.71 beta=103.71 gamma=90.00
Site moments in Bohr magnetons follow the coordinates.
Fractional coordinates of all 7 atoms:
Dy (0.249, 0.249, 0.498)  0.12
Pr (0.000, 0.000, 0.000)  -0.01
In (0.125, 0.625, 0.251)  0.00
In (0.375, 0.875, 0.749)  0.00
In (0.625, 0.125, 0.251)  0.00
In (0.875, 0.375, 0.749)  0.00
Dy (0.751, 0.751, 0.502)  0.12

=====

[6]
The following is a PBE-GGA calculation of Pr3Dy5In2 after structural relaxation, from the Alexandria database.

N(E_F)   27.5 states/eV/cell
DFT formation energy   38 meV/atom

Unit cell a=6.475 b=10.667 c=10.667 alpha=94.43 beta=72.33 gamma=72.33
Fractional coordinates of all 20 atoms:
Dy (0.996, 0.254, 0.254)
Pr (0.250, 0.000, 0.000)
In (0.362, 0.991, 0.285)
Pr (0.750, 0.000, 0.000)
Pr (0.117, 0.123, 0.642)
Dy (0.377, 0.786, 0.460)
Dy (0.504, 0.746, 0.746)
Dy (0.123, 0.540, 0.214)
Dy (0.004, 0.746, 0.746)
Pr (0.617, 0.642, 0.123)
Pr (0.883, 0.877, 0.358)
Dy (0.750, 0.500, 0.500)
Dy (0.496, 0.254, 0.254)
Dy (0.877, 0.460, 0.786)
Dy (0.250, 0.500, 0.500)
Pr (0.383, 0.358, 0.877)
Dy (0.623, 0.214, 0.540)
In (0.138, 0.715, 0.009)
In (0.638, 0.009, 0.715)
In (0.862, 0.285, 0.991)

=====

[7]
The following is a PBE-GGA calculation of PrDyIn after structural relaxation, from the Alexandria database.

Polymorph energy (0 for the lowest one)   2.31 kcal/mol of atoms
N(E_F)   2.0 states/eV/cell
DFT formation energy   -240 meV/atom

Unit cell a=3.746 b=5.306 c=5.306 alpha=120.00 beta=90.00 gamma=90.00
Fractional coordinates of all 3 atoms:
Pr (0.359, 0.333, 0.667)
In (0.729, 0.667, 0.333)
Dy (0.913, 0.000, 0.000)

=====

[8]
The following is a PBE-GGA calculation of Pr5DyIn4 after structural relaxation, from the Alexandria database.

Polymorph energy (0 for the lowest one)   0.00 kcal/mol of atoms
N(E_F)   10.6 states/eV/cell
DFT formation energy   -371 meV/atom

Unit cell a=3.670 b=3.670 c=22.741 alpha=90.00 beta=90.00 gamma=90.00
Fractional coordinates of all 10 atoms:
Pr (0.500, 0.500, 0.500)
Dy (0.000, 0.000, 0.000)
In (0.000, 0.000, 0.790)
In (0.000, 0.000, 0.210)
Pr (0.500, 0.500, 0.694)
Pr (0.500, 0.500, 0.886)
In (0.000, 0.000, 0.597)
In (0.000, 0.000, 0.403)
Pr (0.500, 0.500, 0.114)
Pr (0.500, 0.500, 0.306)

=====

[9]
The following is a PBE-GGA calculation of PrDyIn after structural relaxation, from the Alexandria database.

Polymorph energy (0 for the lowest one)   1.08 kcal/mol of atoms
N(E_F)   2.7 states/eV/cell
DFT formation energy   -293 meV/atom

Unit cell a=3.622 b=3.622 c=7.435 alpha=104.10 beta=104.10 gamma=90.00
Fractional coordinates of all 3 atoms:
Dy (0.268, 0.268, 0.535)
Pr (0.960, 0.960, 0.920)
In (0.622, 0.622, 0.244)

=====

[10]
The following is a PBE-GGA calculation of Pr2Dy3In7 after structural relaxation, from the Alexandria database.

N(E_F)   8.7 states/eV/cell
DFT formation energy   -216 meV/atom

Unit cell a=5.368 b=5.218 c=13.123 alpha=101.47 beta=90.00 gamma=90.00
Fractional coordinates of all 12 atoms:
In (0.000, 0.278, 0.555)
In (0.000, 0.722, 0.445)
Dy (0.500, 0.351, 0.703)
In (0.000, 0.000, 0.000)
In (0.000, 0.430, 0.861)
Pr (0.000, 0.854, 0.707)
In (0.000, 0.570, 0.139)
Dy (0.500, 0.649, 0.297)
In (0.500, 0.074, 0.148)
Pr (0.000, 0.146, 0.293)
In (0.500, 0.926, 0.852)
Dy (0.500, 0.500, 0.000)

=====

[11]
The following is a PBE-GGA calculation of PrDyIn after structural relaxation, from the Alexandria database.

Polymorph energy (0 for the lowest one)   6.74 kcal/mol of atoms
N(E_F)   4.1 states/eV/cell
DFT formation energy   -48 meV/atom

Unit cell a=3.442 b=5.619 c=5.733 alpha=119.35 beta=107.47 gamma=90.00
Fractional coordinates of all 3 atoms:
Pr (0.096, 0.346, 0.693)
In (0.729, 0.979, 0.958)
Dy (0.917, 0.667, 0.334)

=====

[12]
The following is a PBE-GGA calculation of Pr2Dy3In4 after structural relaxation, from the Alexandria database.

Polymorph energy (0 for the lowest one)   0.00 kcal/mol of atoms
N(E_F)   9.0 states/eV/cell
DFT formation energy   -399 meV/atom

Unit cell a=5.355 b=5.348 c=10.487 alpha=90.12 beta=90.00 gamma=59.96
Fractional coordinates of all 9 atoms:
In (0.334, 0.332, 0.101)
Dy (0.000, 0.000, 0.000)
Dy (0.667, 0.667, 0.575)
In (0.000, 0.000, 0.352)
Dy (0.333, 0.333, 0.425)
Pr (0.333, 0.334, 0.779)
In (0.000, 0.000, 0.648)
In (0.666, 0.668, 0.899)
Pr (0.667, 0.666, 0.221)

=====

[13]
The following is a PBE-GGA calculation of Pr4DyIn2 after structural relaxation, from the Alexandria database.

Polymorph energy (0 for the lowest one)   0.00 kcal/mol of atoms
N(E_F)   16.7 states/eV/cell
DFT formation energy   -187 meV/atom

Unit cell a=8.664 b=9.470 c=9.749 alpha=142.40 beta=99.62 gamma=93.96
Fractional coordinates of all 14 atoms:
Pr (0.506, 0.580, 0.565)
In (0.675, 0.177, 0.147)
In (0.138, 0.419, 0.882)
Dy (0.147, 0.433, 0.213)
Pr (0.021, 0.854, 0.348)
Dy (0.921, 0.742, 0.620)
Pr (0.759, 0.275, 0.911)
In (0.409, 0.265, 0.637)
Pr (0.302, 0.862, 0.024)
Pr (0.788, 0.352, 0.619)
In (0.676, 0.782, 0.063)
Pr (0.342, 0.058, 0.811)
Pr (0.515, 0.735, 0.309)
Pr (0.051, 0.216, 0.351)

=====

[14]
The following is a PBE-GGA calculation of Pr3Dy12In after structural relaxation, from the Alexandria database.

N(E_F)   20.7 states/eV/cell
DFT formation energy   -39 meV/atom

Unit cell a=4.994 b=4.994 c=20.266 alpha=90.00 beta=90.00 gamma=90.00
Fractional coordinates of all 16 atoms:
Dy (0.500, 0.000, 0.119)
Dy (0.500, 0.500, 0.000)
Dy (0.500, 0.500, 0.243)
Dy (0.000, 0.500, 0.119)
Pr (0.000, 0.000, 0.248)
Dy (0.500, 0.000, 0.881)
Dy (0.500, 0.500, 0.500)
Pr (0.000, 0.000, 0.752)
In (0.000, 0.000, 0.000)
Dy (0.000, 0.500, 0.373)
Pr (0.000, 0.000, 0.500)
Dy (0.500, 0.000, 0.373)
Dy (0.000, 0.500, 0.881)
Dy (0.500, 0.000, 0.627)
Dy (0.000, 0.500, 0.627)
Dy (0.500, 0.500, 0.757)

=====

[15]
The following is a PBE-GGA calculation of PrDy3In after structural relaxation, from the Alexandria database.

Polymorph energy (0 for the lowest one)   0.00 kcal/mol of atoms
N(E_F)   14.5 states/eV/cell
DFT formation energy   -174 meV/atom

Unit cell a=4.893 b=4.867 c=12.901 alpha=90.00 beta=79.07 gamma=90.00
Fractional coordinates of all 10 atoms:
In (0.978, 0.250, 0.692)
Dy (0.773, 0.250, 0.103)
Pr (0.177, 0.250, 0.295)
Dy (0.574, 0.250, 0.500)
In (0.670, 0.750, 0.308)
Dy (0.372, 0.250, 0.905)
Dy (0.876, 0.750, 0.897)
Pr (0.472, 0.750, 0.705)
Dy (0.074, 0.750, 0.500)
Dy (0.277, 0.750, 0.095)

=====

[16]
The following is a PBE-GGA calculation of Pr12DyIn6 after structural relaxation, from the Alexandria database.

N(E_F)   19.9 states/eV/cell
DFT formation energy   -241 meV/atom

Unit cell a=8.441 b=8.441 c=8.441 alpha=89.17 beta=89.17 gamma=89.17
Fractional coordinates of all 19 atoms:
In (0.879, 0.256, 0.731)
In (0.269, 0.121, 0.744)
In (0.731, 0.879, 0.256)
Pr (0.875, 0.617, 0.929)
Pr (0.383, 0.071, 0.125)
Pr (0.071, 0.125, 0.383)
Pr (0.191, 0.474, 0.566)
Pr (0.809, 0.526, 0.434)
Pr (0.566, 0.191, 0.474)
Pr (0.125, 0.383, 0.071)
Pr (0.526, 0.434, 0.809)
Pr (0.434, 0.809, 0.526)
Pr (0.617, 0.929, 0.875)
In (0.744, 0.269, 0.121)
Dy (0.000, 0.000, 0.000)
Pr (0.929, 0.875, 0.617)
In (0.121, 0.744, 0.269)
Pr (0.474, 0.566, 0.191)
In (0.256, 0.731, 0.879)

=====

[17]
The following is a PBE-GGA calculation of Pr3DyIn3 after structural relaxation, from the Alexandria database.

Polymorph energy (0 for the lowest one)   0.00 kcal/mol of atoms
N(E_F)   31.6 states/eV/cell
DFT formation energy   -332 meV/atom

Unit cell a=9.583 b=9.583 c=9.583 alpha=90.00 beta=90.00 gamma=90.00
Fractional coordinates of all 28 atoms:
In (0.744, 0.367, 0.494)
In (0.006, 0.256, 0.867)
In (0.633, 0.994, 0.756)
Pr (0.669, 0.669, 0.669)
In (0.994, 0.756, 0.633)
In (0.867, 0.006, 0.256)
Dy (0.577, 0.923, 0.077)
In (0.244, 0.133, 0.506)
Pr (0.822, 0.678, 0.322)
Pr (0.331, 0.169, 0.831)
In (0.506, 0.244, 0.133)
Pr (0.169, 0.831, 0.331)
Pr (0.569, 0.069, 0.431)
Pr (0.931, 0.931, 0.931)
Pr (0.831, 0.331, 0.169)
In (0.367, 0.494, 0.744)
Pr (0.178, 0.178, 0.178)
Dy (0.077, 0.577, 0.923)
In (0.256, 0.867, 0.006)
Pr (0.322, 0.822, 0.678)
In (0.494, 0.744, 0.367)
Dy (0.923, 0.077, 0.577)
In (0.133, 0.506, 0.244)
Dy (0.423, 0.423, 0.423)
Pr (0.069, 0.431, 0.569)
Pr (0.678, 0.322, 0.822)
In (0.756, 0.633, 0.994)
Pr (0.431, 0.569, 0.069)

=====

[18]
The following is a PBE-GGA calculation of Pr3DyIn4 after structural relaxation, from the Alexandria database.

Polymorph energy (0 for the lowest one)   0.00 kcal/mol of atoms
N(E_F)   4.4 states/eV/cell
DFT formation energy   -490 meV/atom

Unit cell a=3.856 b=3.856 c=15.583 alpha=90.00 beta=90.00 gamma=90.00
Fractional coordinates of all 8 atoms:
Pr (0.500, 0.500, 0.500)
In (0.000, 0.000, 0.372)
In (0.000, 0.000, 0.628)
In (0.000, 0.000, 0.886)
Dy (0.500, 0.500, 0.000)
Pr (0.500, 0.500, 0.756)
In (0.000, 0.000, 0.114)
Pr (0.500, 0.500, 0.244)

=====

[19]
The following is a PBE-GGA calculation of PrDyIn3 after structural relaxation, from the Alexandria database.

Polymorph energy (0 for the lowest one)   3.32 kcal/mol of atoms
N(E_F)   10.0 states/eV/cell
DFT formation energy   -310 meV/atom

Unit cell a=6.175 b=5.619 c=8.931 alpha=90.00 beta=110.23 gamma=90.00
Fractional coordinates of all 10 atoms:
Dy (0.433, 0.750, 0.866)
Dy (0.567, 0.250, 0.134)
In (0.000, 0.500, 0.000)
In (0.132, 0.250, 0.737)
In (0.606, 0.250, 0.737)
Pr (0.803, 0.750, 0.607)
In (0.394, 0.750, 0.263)
In (0.868, 0.750, 0.263)
Pr (0.197, 0.250, 0.393)
In (0.000, 0.000, 0.000)

=====

[20]
The following is a PBE-GGA calculation of PrDy3In after structural relaxation, from the Alexandria database.

Polymorph energy (0 for the lowest one)   1.91 kcal/mol of atoms
N(E_F)   21.3 states/eV/cell
DFT formation energy   -91 meV/atom

Unit cell a=5.416 b=10.496 c=11.090 alpha=90.00 beta=90.00 gamma=90.00
Fractional coordinates of all 20 atoms:
Dy (0.250, 0.365, 0.650)
Pr (0.750, 0.777, 0.016)
Dy (0.250, 0.091, 0.391)
Dy (0.250, 0.402, 0.328)
Dy (0.750, 0.409, 0.891)
In (0.250, 0.074, 0.665)
In (0.250, 0.574, 0.835)
Dy (0.750, 0.909, 0.609)
In (0.750, 0.426, 0.165)
Dy (0.750, 0.135, 0.150)
In (0.750, 0.926, 0.335)
Dy (0.250, 0.902, 0.172)
Pr (0.250, 0.223, 0.984)
Pr (0.750, 0.277, 0.484)
Dy (0.250, 0.591, 0.109)
Dy (0.750, 0.098, 0.828)
Dy (0.750, 0.635, 0.350)
Pr (0.250, 0.723, 0.516)
Dy (0.250, 0.865, 0.850)
Dy (0.750, 0.598, 0.672)

=====

It is found that the M_tot values, taken in the order of the records, are 0.00 0.00 0.00 0.00 0.26 0.00 0.00 0.00 0.00 0.00 0.00 0.00 0.00 0.01 0.00 0.00 0.00 0.00 0.00 0.00 μB per formula unit.